A plane-wave DFT calculation with PBE was carried out for a geometry-optimized LiTmMgZn structure.

## Properties
For the energy of formation, the calculation gives -0.180 eV per atom. As for the space group: F-43m.

a b c (Å): 4.827 4.827 4.827
angles (deg): 60.00 60.00 60.00
Element x y z (fractional)
Li1 0.000 0.000 0.000
Tm1 0.250 0.250 0.250
Mg1 0.750 0.750 0.750
Zn1 0.500 0.500 0.500


A plane-wave DFT calculation with PBE was carried out for a geometry-optimized Ta4Be structure.

## Properties
For the energy of formation, the calculation gives 0.116 eV per atom. The calculation puts the energy above the most stable polymorph in this dataset at 0.00 kJ/mol of atoms. As for the space group: I4/m.

a b c (Å): 5.271 5.271 5.271
angles (deg): 95.86 95.86 142.72
Element x y z (fractional)
Ta1 0.089 0.289 0.378
Ta2 0.289 0.911 0.200
Ta3 0.711 0.089 0.800
Ta4 0.911 0.711 0.622
Be1 0.500 0.500 0.000


A plane-wave DFT calculation with PBE was carried out for a geometry-optimized Sm8Co3RuBr4 structure.

## Properties
As for the space group: C2/m. The energy comes out at -86.92 eV for the cell shown.

a b c (Å): 7.915 7.915 9.032
angles (deg): 116.10 116.10 59.92
Element x y z (fractional)
Sm1 0.228 0.734 0.695
Sm2 0.230 0.230 0.689
Sm3 0.266 0.266 0.305
Sm4 0.266 0.772 0.305
Sm5 0.734 0.228 0.695
Sm6 0.734 0.734 0.695
Sm7 0.770 0.770 0.311
Sm8 0.772 0.266 0.305
Co1 0.000 0.000 0.500
Co2 0.000 0.500 0.500
Co3 0.500 0.000 0.500
Ru1 0.500 0.500 0.500
Br1 0.000 0.000 0.000
Br2 0.000 0.500 0.000
Br3 0.500 0.000 0.000
Br4 0.500 0.500 0.000


A plane-wave DFT calculation with PBE was carried out for a geometry-optimized YCu2 structure.

## Properties
For the energy of formation, the calculation gives -0.107 eV per atom. As for the space group: Cmcm.

a b c (Å): 6.604 6.604 4.675
angles (deg): 90.00 90.00 147.62
Element x y z (fractional)
Y1 0.095 0.905 0.750
Y2 0.905 0.095 0.250
Cu1 0.231 0.769 0.250
Cu2 0.406 0.594 0.750
Cu3 0.594 0.406 0.250
Cu4 0.769 0.231 0.750


A plane-wave DFT calculation with PBE was carried out for a geometry-optimized Ac3La2YTe6 structure.

## Properties
As for the space group: C2/m. The energy comes out at -65.38 eV for the cell shown.

a b c (Å): 10.352 10.352 9.323
angles (deg): 103.60 103.60 25.60
Element x y z (fractional)
Ac1 0.000 0.000 0.000
Ac2 0.330 0.330 0.665
Ac3 0.670 0.670 0.335
La1 0.333 0.333 0.166
La2 0.667 0.667 0.834
Y1 0.000 0.000 0.500
Te1 0.159 0.159 0.586
Te2 0.169 0.169 0.078
Te3 0.500 0.500 0.267
Te4 0.500 0.500 0.733
Te5 0.831 0.831 0.922
Te6 0.841 0.841 0.414


A plane-wave DFT calculation with PBE was carried out for a geometry-optimized NaTlCl3 structure.

## Properties
As for the space group: Pm-3m. The energy comes out at -14.19 eV for the cell shown.

a b c (Å): 5.506 5.506 5.506
angles (deg): 90.00 90.00 90.00
Element x y z (fractional)
Na1 0.000 0.000 0.000
Tl1 0.500 0.500 0.500
Cl1 0.000 0.500 0.500
Cl2 0.500 0.000 0.500
Cl3 0.500 0.500 0.000


A plane-wave DFT calculation with PBE was carried out for a geometry-optimized TaZnP2O structure.

## Properties
The calculation puts the energy above the most stable polymorph in this dataset at 89.10 kJ/mol of atoms. As for the space group: P4/mmm.

a b c (Å): 4.697 4.697 3.529
angles (deg): 90.00 90.00 90.00
Element x y z (fractional)
Ta1 0.000 0.000 0.000
Zn1 0.500 0.500 0.500
P1 0.000 0.500 0.500
P2 0.500 0.000 0.500
O1 0.500 0.500 0.000


A plane-wave DFT calculation with PBE was carried out for a geometry-optimized HfSi2O2 structure.

## Properties
As for the space group: I4_1/amd. The energy comes out at -148.39 eV for the cell shown.

a b c (Å): 9.838 9.838 9.838
angles (deg): 139.46 139.46 58.67
Element x y z (fractional)
Hf1 0.000 0.000 0.000
Hf2 0.000 0.000 0.500
Hf3 0.000 0.500 0.000
Hf4 0.500 0.000 0.500
Si1 0.209 0.281 0.572
Si2 0.209 0.637 0.928
Si3 0.281 0.209 0.072
Si4 0.363 0.791 0.572
Si5 0.637 0.209 0.428
Si6 0.719 0.791 0.928
Si7 0.791 0.363 0.072
Si8 0.791 0.719 0.428
O1 0.113 0.163 0.550
O2 0.113 0.564 0.950
O3 0.163 0.113 0.050
O4 0.436 0.887 0.550
O5 0.564 0.113 0.450
O6 0.837 0.887 0.950
O7 0.887 0.436 0.050
O8 0.887 0.837 0.450


A plane-wave DFT calculation with PBE was carried out for a geometry-optimized Pm3Bi structure.

## Properties
For the energy of formation, the calculation gives -0.377 eV per atom. The calculation puts the energy above the most stable polymorph in this dataset at 4.41 kJ/mol of atoms. As for the space group: I4/mmm.

a b c (Å): 6.334 6.334 6.334
angles (deg): 134.95 134.95 65.60
Element x y z (fractional)
Pm1 0.000 0.000 0.000
Pm2 0.250 0.750 0.500
Pm3 0.750 0.250 0.500
Bi1 0.500 0.500 0.000


A plane-wave DFT calculation with PBE was carried out for a geometry-optimized Ba3ZrRe structure.

## Properties
For the energy of formation, the calculation gives 1.276 eV per atom. The calculation puts the energy above the most stable polymorph in this dataset at 0.00 kJ/mol of atoms. As for the space group: Pm-3m.

a b c (Å): 5.971 5.971 5.971
angles (deg): 90.00 90.00 90.00
Element x y z (fractional)
Ba1 0.000 0.000 0.500
Ba2 0.000 0.500 0.000
Ba3 0.500 0.000 0.000
Zr1 0.500 0.500 0.500
Re1 0.000 0.000 0.000


A plane-wave DFT calculation with PBE was carried out for a geometry-optimized ZrSiTe2I structure.

## Properties
The calculation puts the energy above the most stable polymorph in this dataset at 17.75 kJ/mol of atoms. As for the space group: P4/mmm.

a b c (Å): 5.285 5.285 5.264
angles (deg): 90.00 90.00 90.00
Element x y z (fractional)
Zr1 0.000 0.000 0.000
Si1 0.500 0.500 0.500
Te1 0.000 0.500 0.500
Te2 0.500 0.000 0.500
I1 0.500 0.500 0.000


A plane-wave DFT calculation with PBE was carried out for a geometry-optimized Mg2BeCd structure.

## Properties
For the energy of formation, the calculation gives 0.218 eV per atom. The calculation puts the energy above the most stable polymorph in this dataset at 6.58 kJ/mol of atoms. As for the space group: I4/mmm.

a b c (Å): 4.942 4.942 4.942
angles (deg): 128.01 128.01 76.61
Element x y z (fractional)
Mg1 0.250 0.750 0.500
Mg2 0.750 0.250 0.500
Be1 0.000 0.000 0.000
Cd1 0.500 0.500 0.000